1.
{
  "formula": "Ba2LiPbO5",
  "functional": "PBE",
  "state": "relaxed",
  "cell": [[-2.614, 0.774, 2.460], [5.011, -3.836, 3.790], [5.305, 9.535, 2.637]],
  "species": ["O", "O", "O", "O", "O", "O", "O", "O", "O", "O", "Ba", "Ba", "Ba", "Ba", "Pb", "Pb", "Li", "Li"],
  "frac_coords": [[0.967, 0.933, 0.524], [0.331, 0.662, 0.379], [0.493, 0.987, 0.289], [0.033, 0.067, 0.024], [0.307, 0.614, 0.649], [0.330, 0.660, 0.999], [0.693, 0.386, 0.149], [0.507, 0.013, 0.789], [0.669, 0.338, 0.879], [0.670, 0.340, 0.499], [0.129, 0.259, 0.325], [0.886, 0.772, 0.182], [0.114, 0.228, 0.682], [0.871, 0.741, 0.825], [0.182, 0.364, 0.018], [0.818, 0.636, 0.518], [0.534, 0.067, 0.959], [0.466, 0.933, 0.459]],
  "raw_formation_energy_mev_per_atom": -1732,
  "total_energy_ev_per_atom": -5.539,
  "crystal_system": "orthorhombic"
}

=====

2.
{
  "formula": "KScCd2",
  "functional": "PBE",
  "state": "relaxed",
  "cell": [[2.640, 0.016, 4.689], [3.607, 3.854, 1.044], [-1.081, 3.770, 3.684]],
  "species": ["Cd", "Cd", "K", "Sc"],
  "frac_coords": [[0.750, 0.750, 0.750], [0.250, 0.250, 0.250], [0.000, 0.000, 0.000], [0.500, 0.500, 0.500]],
  "total_energy_ev_per_atom": -2.163,
  "crystal_system": "cubic",
  "delta_e_f_mev_per_atom": 151
}

=====

3.
{
  "formula": "BaLiIn4",
  "functional": "PBE",
  "state": "relaxed",
  "cell": [[-4.540, -1.007, 4.250], [-5.485, -2.529, -1.790], [-1.463, -5.883, 1.712]],
  "species": ["In", "In", "In", "In", "Li", "Ba"],
  "frac_coords": [[0.375, 0.874, 0.375], [0.375, 0.375, 0.375], [0.375, 0.375, 0.874], [0.874, 0.375, 0.375], [0.750, 0.750, 0.750], [0.000, 0.000, 0.000]],
  "total_energy_ev_per_atom": -2.681,
  "crystal_system": "cubic",
  "delta_e_f_mev_per_atom": -216
}

=====

4.
{
  "formula": "AuSe3",
  "functional": "PBE",
  "state": "relaxed",
  "cell": [[-0.910, -1.742, -3.888], [1.699, -3.794, 1.303], [-3.907, -1.244, 1.472]],
  "species": ["Se", "Se", "Se", "Au"],
  "frac_coords": [[0.000, 0.500, 0.500], [0.500, 0.000, 0.500], [0.500, 0.500, 0.000], [0.000, 0.000, 0.000]],
  "raw_formation_energy_mev_per_atom": 682,
  "total_energy_ev_per_atom": -2.751,
  "crystal_system": "cubic"
}